[1]
## GdTh2Pt (GGA-PBE)

Data for crystalline GdTh2Pt at its relaxed geometry.

Calculated formation energy in eV per formula unit: -0.7
Distance to the lowest polymorph of the same formula in eV/f.u.: 1.13

Cell: 3.7933 3.7933 31.1224 Å, 90.00 90.00 120.00°
Atoms (fractional coordinates):
1 Gd 0.0000 0.0000 0.0000
2 Gd 0.3333 0.6667 0.6667
3 Gd 0.6667 0.3333 0.3333
4 Th 0.0000 0.0000 0.1053
5 Th 0.0000 0.0000 0.8947
6 Th 0.3333 0.6667 0.5613
7 Th 0.3333 0.6667 0.7720
8 Th 0.6667 0.3333 0.2280
9 Th 0.6667 0.3333 0.4387
10 Pt 0.0000 0.0000 0.5000
11 Pt 0.3333 0.6667 0.1667
12 Pt 0.6667 0.3333 0.8333

[2]
## SrLiCd4Pb2 (GGA-PBE)

Data for crystalline SrLiCd4Pb2 at its relaxed geometry.

Calculated formation energy in eV per formula unit: -1.3

Cell: 9.4265 9.4265 9.4265 Å, 32.47 32.47 32.47°
Atoms (fractional coordinates):
1 Sr 0.0000 0.0000 0.0000
2 Li 0.5000 0.5000 0.5000
3 Cd 0.1327 0.1327 0.1327
4 Cd 0.3899 0.3899 0.3899
5 Cd 0.6101 0.6101 0.6101
6 Cd 0.8673 0.8673 0.8673
7 Pb 0.2497 0.2497 0.2497
8 Pb 0.7503 0.7503 0.7503

[3]
## BWN3 (GGA-PBE)

Data for crystalline BWN3 at its relaxed geometry.

ΔE_f (raw) in eV/atom: 1.516

Cell: 3.9501 3.9501 3.9501 Å, 90.00 90.00 90.00°
Atoms (fractional coordinates):
1 B 0.0000 0.0000 0.0000
2 W 0.5000 0.5000 0.5000
3 N 0.0000 0.5000 0.5000
4 N 0.5000 0.0000 0.5000
5 N 0.5000 0.5000 0.0000

[4]
## LiCd2RuSe (GGA-PBE)

Data for crystalline LiCd2RuSe at its relaxed geometry.

ΔE_f (raw) in eV/atom: 0.710

Cell: 5.2752 5.2752 4.3638 Å, 90.00 90.00 90.00°
Atoms (fractional coordinates):
1 Li 0.0000 0.0000 0.0000
2 Cd 0.0000 0.5000 0.5000
3 Cd 0.5000 0.0000 0.5000
4 Ru 0.5000 0.5000 0.0000
5 Se 0.0000 0.0000 0.5000

[5]
## Na2ClF (GGA-PBE)

Data for crystalline Na2ClF at its relaxed geometry.

ΔE_f (raw) in eV/atom: -2.012
Distance to the lowest polymorph of the same formula in eV/f.u.: 0.84

Cell: 3.2345 3.2345 6.4221 Å, 90.00 90.00 90.00°
Atoms (fractional coordinates):
1 Na 0.0000 0.0000 0.2266
2 Na 0.0000 0.0000 0.7734
3 Cl 0.5000 0.5000 0.5000
4 F 0.5000 0.5000 0.0000

[6]
## La2MnPt (GGA-PBE)

Data for crystalline La2MnPt at its relaxed geometry.

Calculated formation energy in eV per formula unit: -1.0

Cell: 7.1430 4.0449 8.1917 Å, 90.00 106.13 90.00°
Atoms (fractional coordinates):
1 La 0.2416 0.0000 0.2264
2 La 0.2584 0.5000 0.7736
3 La 0.7416 0.5000 0.2264
4 La 0.7584 0.0000 0.7736
5 Mn 0.0000 0.0000 0.5000
6 Mn 0.5000 0.5000 0.5000
7 Pt 0.0000 0.5000 0.0000
8 Pt 0.5000 0.0000 0.0000

[7]
## CdTeS2Cl (GGA-PBE)

Data for crystalline CdTeS2Cl at its relaxed geometry.

ΔE_f (raw) in eV/atom: 0.202
Distance to the lowest polymorph of the same formula in eV/f.u.: 0.00

Cell: 5.1511 5.1511 5.1649 Å, 90.00 90.00 90.00°
Atoms (fractional coordinates):
1 Cd 0.0000 0.0000 0.0000
2 Te 0.5000 0.5000 0.5000
3 S 0.0000 0.5000 0.5000
4 S 0.5000 0.0000 0.5000
5 Cl 0.5000 0.5000 0.0000

[8]
## Li2HgPtN (GGA-PBE)

Data for crystalline Li2HgPtN at its relaxed geometry.

ΔE_f (raw) in eV/atom: -0.296

Cell: 4.4693 4.4693 3.7989 Å, 90.00 90.00 90.00°
Atoms (fractional coordinates):
1 Li 0.0000 0.5000 0.0000
2 Li 0.5000 0.0000 0.0000
3 Hg 0.0000 0.0000 0.5000
4 Pt 0.5000 0.5000 0.5000
5 N 0.5000 0.5000 0.0000

[9]
## Co2PPt (GGA-PBE)

Data for crystalline Co2PPt at its relaxed geometry.

Calculated formation energy in eV per formula unit: 0.4

Cell: 5.8708 5.8708 5.8708 Å, 90.00 90.00 90.00°
Atoms (fractional coordinates):
1 Co 0.0000 0.0000 0.0000
2 Co 0.0000 0.5000 0.5000
3 Co 0.2500 0.2500 0.2500
4 Co 0.2500 0.7500 0.7500
5 Co 0.5000 0.0000 0.5000
6 Co 0.5000 0.5000 0.0000
7 Co 0.7500 0.2500 0.7500
8 Co 0.7500 0.7500 0.2500
9 P 0.0000 0.0000 0.5000
10 P 0.0000 0.5000 0.0000
11 P 0.5000 0.0000 0.0000
12 P 0.5000 0.5000 0.5000
13 Pt 0.2500 0.2500 0.7500
14 Pt 0.2500 0.7500 0.2500
15 Pt 0.7500 0.2500 0.2500
16 Pt 0.7500 0.7500 0.7500

[10]
## CaCd2HPb (GGA-PBE)

Data for crystalline CaCd2HPb at its relaxed geometry.

Final energy in eV/cell: -11.64

Cell: 4.8115 4.8115 4.6425 Å, 90.00 90.00 90.00°
Atoms (fractional coordinates):
1 Ca 0.0000 0.0000 0.0000
2 Cd 0.0000 0.5000 0.5000
3 Cd 0.5000 0.0000 0.5000
4 H 0.0000 0.0000 0.5000
5 Pb 0.5000 0.5000 0.0000

[11]
## Al3Cr (GGA-PBE)

Data for crystalline Al3Cr at its relaxed geometry.

Calculated formation energy in eV per formula unit: -0.3

Cell: 2.7061 4.4695 4.7230 Å, 90.00 90.00 90.00°
Atoms (fractional coordinates):
1 Al 0.0000 0.0000 0.0000
2 Al 0.0000 0.5000 0.3292
3 Al 0.5000 0.0000 0.5149
4 Cr 0.5000 0.5000 0.8235